# 1
Material: Ca2BeSi4Pt3
Method: DFT, PBE
State: relaxed

a = 4.1137 Å, b = 4.1137 Å, c = 10.1656 Å
α = 90.00°, β = 90.00°, γ = 90.00°
Space group P-4m2 (No. 115)
One atom of each set of equivalent atoms:
Ca (0.0000, 0.5000, 0.2445) (multiplicity 2)
Be (0.5000, 0.5000, 0.0000) (multiplicity 1)
Si (0.0000, 0.0000, 0.5000) (multiplicity 1)
Si (0.0000, 0.5000, 0.8690) (multiplicity 2)
Si (0.5000, 0.5000, 0.5000) (multiplicity 1)
Pt (0.0000, 0.0000, 0.0000) (multiplicity 1)
Pt (0.0000, 0.5000, 0.6285) (multiplicity 2)

M_tot, μB/f.u.: 0.0
DFT total energy, eV per cell: -55.4
Formation energy from raw total energies, kJ/mol of formula units: -762

# 2
Material: CaBe2SiPt
Method: DFT, PBE
State: relaxed

a = 3.8391 Å, b = 3.9650 Å, c = 10.0792 Å
α = 90.00°, β = 90.00°, γ = 90.00°
Space group Imm2 (No. 44)
One atom of each set of equivalent atoms:
Ca (0.0000, 0.0000, 0.0000) (multiplicity 2)
Be (0.0000, 0.0000, 0.3823) (multiplicity 2)
Be (0.0000, 0.5000, 0.2507) (multiplicity 2)
Si (0.0000, 0.0000, 0.6186) (multiplicity 2)
Pt (0.0000, 0.5000, 0.7578) (multiplicity 2)

M_tot, μB/f.u.: 0.0
DFT total energy, eV per cell: -46.4
Formation energy from raw total energies, kJ/mol of formula units: -220

# 3
Material: CaBe4SiPt2
Method: DFT, PBE
State: relaxed

a = 3.9501 Å, b = 3.9501 Å, c = 25.5087 Å
α = 90.00°, β = 90.00°, γ = 120.00°
Space group R-3m (No. 166, hexagonal axes)
One atom of each set of equivalent atoms:
Ca (0.0000, 0.0000, 0.0000) (multiplicity 3)
Be (0.0000, 0.0000, 0.1145) (multiplicity 6)
Be (0.0000, 0.0000, 0.4136) (multiplicity 6)
Si (0.0000, 0.0000, 0.5000) (multiplicity 3)
Pt (0.0000, 0.0000, 0.2375) (multiplicity 6)

M_tot, μB/f.u.: 0.0
DFT total energy, eV per cell: -111.7
Formation energy from raw total energies, kJ/mol of formula units: -272

# 4
Material: Ca2Be3SiPt4
Method: DFT, PBE
State: relaxed

a = 4.0783 Å, b = 4.0783 Å, c = 9.6596 Å
α = 90.00°, β = 90.00°, γ = 90.00°
Space group P-4m2 (No. 115)
One atom of each set of equivalent atoms:
Ca (0.0000, 0.5000, 0.2447) (multiplicity 2)
Be (0.0000, 0.5000, 0.8799) (multiplicity 2)
Be (0.5000, 0.5000, 0.5000) (multiplicity 1)
Si (0.0000, 0.0000, 0.5000) (multiplicity 1)
Pt (0.0000, 0.0000, 0.0000) (multiplicity 1)
Pt (0.0000, 0.5000, 0.6307) (multiplicity 2)
Pt (0.5000, 0.5000, 0.0000) (multiplicity 1)

M_tot, μB/f.u.: 0.0
DFT total energy, eV per cell: -53.1
Formation energy from raw total energies, kJ/mol of formula units: -807

# 5
Material: Ca2Be4Si3Pt
Method: DFT, PBE
State: relaxed

a = 3.8717 Å, b = 3.8717 Å, c = 9.9620 Å
α = 90.00°, β = 90.00°, γ = 90.00°
Space group P-4m2 (No. 115)
One atom of each set of equivalent atoms:
Ca (0.0000, 0.5000, 0.2440) (multiplicity 2)
Be (0.0000, 0.0000, 0.0000) (multiplicity 1)
Be (0.0000, 0.5000, 0.6353) (multiplicity 2)
Be (0.5000, 0.5000, 0.0000) (multiplicity 1)
Si (0.0000, 0.5000, 0.8693) (multiplicity 2)
Si (0.5000, 0.5000, 0.5000) (multiplicity 1)
Pt (0.0000, 0.0000, 0.5000) (multiplicity 1)

M_tot, μB/f.u.: 0.0
DFT total energy, eV per cell: -45.2
Formation energy from raw total energies, kJ/mol of formula units: -385

# 6
Material: CaBeSiPt3
Method: DFT, PBE
State: relaxed

a = 6.4958 Å, b = 11.6570 Å, c = 5.5643 Å
α = 90.00°, β = 90.00°, γ = 90.00°
Space group Cmcm (No. 63)
One atom of each set of equivalent atoms:
Ca (0.0000, 0.2267, 0.2500) (multiplicity 4)
Be (0.0000, 0.4875, 0.2500) (multiplicity 4)
Si (0.0000, 0.1199, 0.7500) (multiplicity 4)
Pt (0.0000, 0.3156, 0.7500) (multiplicity 4)
Pt (0.2234, 0.0000, 0.0000) (multiplicity 8)

M_tot, μB/f.u.: 0.0
DFT total energy, eV per cell: -135.1
Formation energy from raw total energies, kJ/mol of formula units: -435

# 7
Material: CaTaBePt2
Method: DFT, PBE
State: relaxed

a = 4.8090 Å, b = 4.8090 Å, c = 4.3241 Å
α = 90.00°, β = 90.00°, γ = 90.00°
Space group P4/mmm (No. 123)
One atom of each set of equivalent atoms:
Ca (0.0000, 0.0000, 0.0000) (multiplicity 1)
Ta (0.5000, 0.5000, 0.5000) (multiplicity 1)
Be (0.0000, 0.0000, 0.5000) (multiplicity 1)
Pt (0.0000, 0.5000, 0.0000) (multiplicity 2)

Formation enthalpy at 0 K, eV/atom: 1.565
M_tot, μB/f.u.: 0.0
DFT total energy, eV per cell: -21.8

# 8
Material: CaTiBePt2
Method: DFT, PBE
State: relaxed

a = 3.9545 Å, b = 3.9545 Å, c = 11.6122 Å
α = 90.00°, β = 90.00°, γ = 90.00°
Space group I-4m2 (No. 119)
One atom of each set of equivalent atoms:
Ca (0.0000, 0.0000, 0.0000) (multiplicity 2)
Ti (0.0000, 0.5000, 0.2500) (multiplicity 2)
Be (0.0000, 0.5000, 0.7500) (multiplicity 2)
Pt (0.0000, 0.0000, 0.3809) (multiplicity 4)

Formation enthalpy at 0 K, eV/atom: -0.750
M_tot, μB/f.u.: 0.0
DFT total energy, eV per cell: -58.9